DFT (PBE) results for a geometry-optimized Tl3GaNi structure.

It has space group Pm-3m (No. 221), with a = 5.109 Å, b = 5.109 Å, c = 5.109 Å, α = 90.00°, β = 90.00° and γ = 90.00°. The inequivalent atoms are Tl at (0.000, 0.000, 0.500), Ga at (0.500, 0.500, 0.500) and Ni at (0.000, 0.000, 0.000).

For the total energy, the calculation gives -14.8 eV for the cell shown. For the distance to the lowest polymorph of the same formula, the calculation gives 0 meV per atom. For the formation energy, the calculation gives 212 meV/atom.